A relaxed structure of BaCuP, computed with PBE-GGA. Values from VASP.

The structure in Quantum ESPRESSO input format:
```
&SYSTEM
  ibrav = 0, nat = 6, ntyp = 3
/
ATOMIC_SPECIES
P 30.97 P.upf
Ba 137.33 Ba.upf
Cu 63.55 Cu.upf
CELL_PARAMETERS angstrom
-6.375 -5.575 1.827
-0.292 -1.032 -4.168
4.091 -1.339 0.044
ATOMIC_POSITIONS crystal
P 0.061 0.702 0.432
P 0.409 0.202 0.280
Ba 0.549 0.702 0.920
Ba 0.920 0.202 0.792
Cu 0.235 0.202 0.606
Cu 0.235 0.702 0.106
```

Properties
- space-group type = No. 129
- VASP energy (eV per atom) = -4.413
- DOS(E_F) (states/eV per cell) = 0.61
- energy relative to the elements (eV/atom) = -0.60